This record from Alexandria describes a geometry-optimized KCe2Cl6 structure. The functional is GGA-PBE.

For the total magnetization, the calculation gives 6.01 Bohr magnetons per cell. The density of states at the Fermi level comes out at 10.39 states/eV/f.u. For the total DFT energy (no corrections), the calculation gives -4.7877 eV/atom. As for the formation energy from raw total energies: -2.1160 eV/atom.

```
18
Lattice="8.714 -4.489 0.000 8.714 4.489 0.000 -1.791 0.000 7.598" Properties=species:S:1:pos:R:3 pbc="T T T"
K 7.371 2.914 5.699
K 8.266 -2.914 1.900
Ce 2.645 0.045 6.615
Ce 3.540 -0.045 2.816
Ce 12.097 0.045 4.783
Ce 12.992 -0.045 0.983
Cl 1.936 0.016 0.433
Cl 1.040 -0.016 4.232
Cl 5.381 1.635 1.272
Cl 4.535 1.655 5.029
Cl 10.206 1.655 6.369
Cl 11.152 1.635 2.527
Cl 4.485 -1.635 5.071
Cl 5.431 -1.655 1.229
Cl 11.102 -1.655 2.570
Cl 10.256 -1.635 6.327
Cl 14.597 0.016 3.367
Cl 13.701 -0.016 7.166
```

=====

This record from Alexandria describes a geometry-optimized DyAuO structure. The functional is GGA-PBE.

For the total magnetization, the calculation gives 0.00 Bohr magnetons per cell. The density of states at the Fermi level comes out at 0.87 states/eV/f.u. For the total DFT energy (no corrections), the calculation gives -6.5456 eV/atom. As for the formation energy from raw total energies: -2.2664 eV/atom.

```
6
Lattice="3.881 0.000 0.000 0.000 3.881 0.000 0.000 0.000 7.221" Properties=species:S:1:pos:R:3 pbc="T T T"
Dy 0.970 0.970 1.116
Dy 2.911 2.911 6.105
Au 0.970 0.970 4.182
Au 2.911 2.911 3.039
O 0.970 2.911 0.000
O 2.911 0.970 0.000
```

=====

This record from Alexandria describes a geometry-optimized Er4Ga2N structure. The functional is GGA-PBE.

For the total magnetization, the calculation gives 0.03 Bohr magnetons per cell. The density of states at the Fermi level comes out at 4.90 states/eV/f.u. The energy above the most stable polymorph in this dataset comes out at 0.41 eV per formula unit. For the total DFT energy (no corrections), the calculation gives -5.4186 eV/atom. As for the formation energy from raw total energies: -0.7570 eV/atom.

```
7
Lattice="7.409 -1.787 0.000 7.409 1.787 0.000 -1.348 0.000 5.752" Properties=species:S:1:pos:R:3 pbc="T T T"
Er 0.643 0.000 1.568
Er 5.236 0.000 0.905
Er 8.234 0.000 4.846
Er 12.827 0.000 4.183
Ga 2.968 0.000 3.816
Ga 10.503 0.000 1.935
N 7.409 0.000 0.000
```

=====

This record from Alexandria describes a geometry-optimized CePm8Sm2 structure. The functional is GGA-PBE.

For the total magnetization, the calculation gives 0.99 Bohr magnetons per cell. The density of states at the Fermi level comes out at 19.88 states/eV/f.u. For the total DFT energy (no corrections), the calculation gives -4.8150 eV/atom. The calculation puts the energy relative to the elements at 0.04 eV per atom.

```
11
Lattice="9.275 -2.571 0.000 9.275 2.571 0.000 -2.136 0.000 7.852" Properties=species:S:1:pos:R:3 pbc="T T T"
Ce 0.000 0.000 0.000
Pm 0.715 0.000 3.554
Pm 1.402 0.000 7.139
Pm 5.016 0.000 6.437
Pm 7.868 0.000 2.108
Pm 8.546 0.000 5.744
Pm 11.399 0.000 1.415
Pm 15.012 0.000 0.713
Pm 15.699 0.000 4.298
Sm 4.268 0.000 2.851
Sm 12.146 0.000 5.001
```

=====

This record from Alexandria describes a geometry-optimized Tb5NdY7 structure. The functional is GGA-PBE.

For the total magnetization, the calculation gives 0.00 Bohr magnetons per cell. The density of states at the Fermi level comes out at 24.01 states/eV/f.u. For the total DFT energy (no corrections), the calculation gives -5.3928 eV/atom. The calculation puts the energy relative to the elements at 0.24 eV per atom.

```
13
Lattice="-3.353 5.582 5.830 3.353 -5.582 5.830 3.353 5.582 -5.830" Properties=species:S:1:pos:R:3 pbc="T T T"
Tb 0.000 0.000 0.000
Tb 1.558 3.021 -0.066
Tb 1.794 -2.562 5.764
Tb 1.558 8.144 -0.066
Tb 1.794 2.562 5.764
Nd 0.000 5.582 2.230
Y 3.353 3.672 -2.958
Y 3.353 0.000 3.529
Y 0.000 1.911 2.872
Y 0.000 0.000 5.752
Y 3.353 3.704 2.869
Y 0.000 1.879 8.699
Y 0.000 5.582 5.760
```

=====

This record from Alexandria describes a geometry-optimized Au3SCl structure. The functional is GGA-PBE.

For the total magnetization, the calculation gives 0.00 Bohr magnetons per cell. The density of states at the Fermi level comes out at 0.00 states/eV/f.u. The energy above the most stable polymorph in this dataset comes out at 0.00 eV per formula unit. For the total DFT energy (no corrections), the calculation gives -2.8949 eV/atom. As for the formation energy from raw total energies: 0.2663 eV/atom.

```
5
Lattice="4.819 0.000 0.000 0.000 4.819 0.000 0.000 0.000 4.819" Properties=species:S:1:pos:R:3 pbc="T T T"
Au 0.000 0.000 2.410
Au 0.000 2.410 0.000
Au 2.410 0.000 0.000
S 0.000 0.000 0.000
Cl 2.410 2.410 2.410
```

=====

This record from Alexandria describes a geometry-optimized SrFe2Au structure. The functional is GGA-PBE.

For the total magnetization, the calculation gives 5.28 Bohr magnetons per cell. The density of states at the Fermi level comes out at 6.08 states/eV/f.u. For the total DFT energy (no corrections), the calculation gives -4.9388 eV/atom. The calculation puts the energy relative to the elements at 0.53 eV per atom.

```
4
Lattice="4.144 0.000 0.000 0.000 4.144 0.000 0.000 0.000 4.535" Properties=species:S:1:pos:R:3 pbc="T T T"
Sr 0.000 0.000 0.000
Fe 0.000 2.072 2.267
Fe 2.072 0.000 2.267
Au 2.072 2.072 0.000
```

=====

This record from Alexandria describes a geometry-optimized LiPr4In structure. The functional is GGA-PBE.

For the total magnetization, the calculation gives 0.00 Bohr magnetons per cell. The density of states at the Fermi level comes out at 6.54 states/eV/f.u. For the total DFT energy (no corrections), the calculation gives -3.8672 eV/atom. The calculation puts the energy relative to the elements at 0.09 eV per atom.

```
12
Lattice="2.670 -11.932 0.000 2.670 11.932 0.000 0.000 0.000 6.791" Properties=species:S:1:pos:R:3 pbc="T T T"
Li 2.670 10.552 3.395
Li 2.670 -10.552 0.000
Pr 2.670 10.107 0.041
Pr 2.670 7.450 2.374
Pr 2.670 6.746 5.801
Pr 2.670 3.177 0.722
Pr 2.670 -3.177 4.117
Pr 2.670 -6.746 2.406
Pr 2.670 -7.450 5.770
Pr 2.670 -10.107 3.436
In 2.670 3.803 4.011
In 2.670 -3.803 0.616
```

=====

Q: total DFT energy (no corrections) of number 6 (Au3SCl)?
A: -2.8949 eV/atom

=====

Q: total DFT energy (no corrections) of number 1 (KCe2Cl6)?
A: -4.7877 eV/atom